Entry 1:
This record from Alexandria via LeMat-Bulk describes an optimized crystal structure of CaFe2Ni. The functional is GGA-PBE.

Computed properties:
The formation energy is 0.451 eV per atom. Its space group is P4/mmm (123).

Unit cell a=4.306 b=3.756 c=3.756 alpha=90.00 beta=90.00 gamma=90.00
Last column: magnetic moment on the atom in μB.
Positions (direct):
Fe1 0.000 0.500 0.500  2.62
Fe2 0.000 0.000 0.000  2.62
Ni1 0.500 0.500 0.000  0.35
Ca1 0.500 0.000 0.500  -0.08



Entry 2:
This record from Alexandria via LeMat-Bulk describes an optimized crystal structure of KBaSr. The functional is GGA-PBE.

Computed properties:
The formation energy is 0.061 eV per atom. Its space group is P2_1/m (11). The relative energy among the computed polymorphs is 1 meV/atom.

Unit cell a=4.347 b=7.074 c=14.975 alpha=118.17 beta=106.78 gamma=90.02
Positions (direct):
Sr1 0.556 0.337 0.087
Sr2 0.444 0.663 0.913
K1 0.908 0.327 0.577
K2 0.092 0.673 0.423
Ba1 0.773 0.032 0.782
Ba2 0.227 0.968 0.218



Entry 3:
This record from Alexandria via LeMat-Bulk describes an optimized crystal structure of AlAgGeN2. The functional is GGA-PBE.

Computed properties:
The calculation puts the uncorrected formation energy at 6.0 eV per formula unit. Its space group is P4/mmm (123).

Unit cell a=3.729 b=5.731 c=3.729 alpha=90.00 beta=90.00 gamma=90.00
Positions (direct):
N1 0.000 0.000 0.500
N2 0.500 0.000 0.000
Ag1 0.000 0.500 0.000
Ge1 0.000 0.000 0.000
Al1 0.500 0.500 0.500



Entry 4:
This record from Alexandria via LeMat-Bulk describes an optimized crystal structure of Na2CeAlF8. The functional is GGA-PBE.

Computed properties:
The calculation puts the uncorrected formation energy at -40.9 eV per formula unit. Its space group is P2/m (10).

Unit cell a=4.946 b=5.152 c=6.820 alpha=90.00 beta=90.00 gamma=90.32
Last column: magnetic moment on the atom in μB.
Positions (direct):
Na1 0.500 0.500 0.779  0.00
Na2 0.500 0.500 0.221  0.00
F1 0.176 0.823 0.203  0.00
F2 0.258 0.245 0.000  0.00
F3 0.742 0.755 0.000  0.00
F4 0.675 0.702 0.500  -0.01
F5 0.824 0.177 0.203  0.00
F6 0.325 0.298 0.500  -0.01
F7 0.824 0.177 0.797  0.00
F8 0.176 0.823 0.797  0.00
Al1 0.000 0.000 0.000  0.00
Ce1 0.000 0.000 0.500  0.97



Entry 5:
This record from Alexandria via LeMat-Bulk describes an optimized crystal structure of Ca2CO3F2. The functional is GGA-PBE.

Computed properties:
The calculation puts the uncorrected formation energy at -22.9 eV per formula unit. Its space group is Pbcn (60).

Unit cell a=6.708 b=7.540 c=7.737 alpha=90.00 beta=90.00 gamma=90.00
Positions (direct):
Ca1 0.539 0.663 0.827
Ca2 0.961 0.663 0.173
Ca3 0.539 0.163 0.673
Ca4 0.461 0.837 0.327
Ca5 0.039 0.337 0.827
Ca6 0.039 0.837 0.673
Ca7 0.461 0.337 0.173
Ca8 0.961 0.163 0.327
O1 0.173 0.550 0.629
O2 0.673 0.450 0.629
O3 0.827 0.450 0.371
O4 0.673 0.950 0.871
O5 0.173 0.050 0.871
O6 0.250 0.793 0.000
O7 0.750 0.207 0.000
O8 0.327 0.050 0.129
O9 0.327 0.550 0.371
O10 0.827 0.950 0.129
O11 0.750 0.707 0.500
O12 0.250 0.293 0.500
F1 0.397 0.879 0.621
F2 0.897 0.121 0.621
F3 0.103 0.379 0.121
F4 0.103 0.879 0.379
F5 0.603 0.621 0.121
F6 0.397 0.379 0.879
F7 0.897 0.621 0.879
F8 0.603 0.121 0.379
C1 0.750 0.534 0.500
C2 0.750 0.034 0.000
C3 0.250 0.466 0.500
C4 0.250 0.966 0.000



Entry 6:
This record from Alexandria via LeMat-Bulk describes an optimized crystal structure of Ag2Ge. The functional is GGA-PBE.

Computed properties:
The formation energy is 0.290 eV per atom. Its space group is Fd-3m (227). The relative energy among the computed polymorphs is 138 meV/atom.

Unit cell a=5.512 b=5.512 c=5.512 alpha=60.00 beta=60.00 gamma=60.00
Positions (direct):
Ge1 0.000 0.000 0.000
Ge2 0.250 0.250 0.250
Ag1 0.625 0.625 0.125
Ag2 0.625 0.125 0.625
Ag3 0.125 0.625 0.625
Ag4 0.625 0.625 0.625